Compound: Nd8Ru3Br4Cl
Source: the Alexandria database
Functional: PBE-GGA
Structure: relaxed

Unit cell a=9.128 b=9.128 c=9.128 alpha=54.48 beta=54.48 gamma=54.48
Element x y z (fractional)
Nd: 0.208 0.745 0.745
Nd: 0.233 0.233 0.233
Nd: 0.255 0.255 0.792
Nd: 0.255 0.792 0.255
Nd: 0.745 0.208 0.745
Nd: 0.745 0.745 0.208
Nd: 0.767 0.767 0.767
Nd: 0.792 0.255 0.255
Ru: 0.000 0.000 0.500
Ru: 0.000 0.500 0.000
Ru: 0.500 0.000 0.000
Br: 0.000 0.000 0.000
Br: 0.000 0.500 0.500
Br: 0.500 0.000 0.500
Br: 0.500 0.500 0.000
Cl: 0.500 0.500 0.500

## Properties
Raw formation energy (meV/atom): -912